No. 1
The following is a DFT calculation (PBEsol) of an optimized crystal structure of HfHBr3.

```
5
Lattice="-4.167 1.043 -1.309 0.257 -3.073 -3.264 -1.654 -3.104 2.792" Properties=species:S:1:pos:R:3 pbc="T T T"
Br -2.084 0.521 -0.655
Br 0.128 -1.536 -1.632
Hf -2.782 -2.567 -0.891
H 0.000 0.000 0.000
Br -0.827 -1.552 1.396
```

VASP energy = -3.61 eV per atom

=====

No. 2
The following is a DFT calculation (PBEsol) of an optimized crystal structure of HgH3Br.

```
5
Lattice="3.883 0.000 0.000 0.000 3.883 0.000 0.000 0.000 3.883" Properties=species:S:1:pos:R:3 pbc="T T T"
Br 1.942 1.942 1.942
H 0.000 0.000 1.942
H 0.000 1.942 0.000
Hg 0.000 0.000 0.000
H 1.942 0.000 0.000
```

VASP energy = -1.87 eV per atom

=====

No. 3
The following is a DFT calculation (PBEsol) of an optimized crystal structure of Hg3HBr.

```
5
Lattice="-3.025 -2.897 4.400 -1.116 -4.606 -3.800 5.149 -2.701 1.762" Properties=species:S:1:pos:R:3 pbc="T T T"
Br 0.000 0.000 0.000
H 0.504 -5.102 1.181
Hg 2.574 -1.350 0.881
Hg -1.513 -1.449 2.200
Hg -0.558 -2.303 -1.900
```

VASP energy = -0.61 eV per atom

=====

No. 4
The following is a DFT calculation (PBEsol) of an optimized crystal structure of HgH16Br6N4.

```
54
Lattice="-0.354 -7.112 -5.627 8.924 -0.253 -0.242 0.032 -5.544 7.005" Properties=species:S:1:pos:R:3 pbc="T T T"
H 2.914 -7.195 -2.747
H 3.122 -1.683 -0.529
Br 6.142 -0.799 0.623
N 7.475 -3.910 0.811
Br -0.105 -2.102 -1.663
H 4.889 -9.644 2.100
N 7.298 -7.465 -2.001
H 8.239 -3.406 1.325
H 2.046 -2.966 -0.717
Br 5.297 -4.753 -1.645
H 7.537 -4.952 0.925
H 5.480 -11.226 1.665
Br 7.939 -4.039 4.605
Br 7.091 -7.158 1.282
Br 1.017 -1.759 2.159
N 1.304 -5.444 3.138
H 1.050 -9.253 1.329
H 2.054 -9.299 -0.032
H 1.065 -7.957 0.212
H 1.902 -5.864 -3.010
H 6.556 -9.943 1.853
H 5.008 -7.252 3.993
N 1.127 -8.999 0.325
H 7.418 -7.341 -0.966
Hg 4.301 -6.455 0.568
N 5.595 -10.190 1.547
H 0.598 -4.783 3.546
H 3.124 -2.980 0.588
H 7.552 -3.656 -0.193
Hg 0.000 0.000 0.000
H 6.338 -7.824 -2.165
N 2.830 -6.276 -3.225
Br 4.196 -8.556 -1.095
H 5.716 -6.504 5.402
Br 1.511 -5.751 -0.145
Br 4.406 -4.353 2.231
H 6.548 -3.611 1.169
Br 2.815 -4.999 6.141
N 5.772 -6.633 4.361
Br 3.304 -8.156 2.781
H 8.004 -8.126 -2.410
H 0.363 -9.503 -0.188
H 2.886 -6.405 -4.265
H 7.408 -6.552 -2.485
H 5.478 -9.929 0.548
H 1.184 -5.568 2.102
H 5.688 -5.715 3.883
H 1.194 -6.357 3.621
N 3.007 -2.720 -0.410
Br -0.250 -5.010 -3.964
H 2.264 -5.085 3.302
H 3.593 -5.657 -2.856
H 6.700 -7.046 4.146
H 3.713 -3.266 -0.964
```

VASP energy = -4.22 eV per atom

=====

No. 5
The following is a DFT calculation (PBEsol) of an optimized crystal structure of HgHOsBr2.

```
5
Lattice="3.384 0.000 0.000 0.000 5.302 0.000 0.000 0.000 5.302" Properties=species:S:1:pos:R:3 pbc="T T T"
Hg 1.692 0.000 0.000
Br 0.000 2.651 0.000
Br 0.000 0.000 2.651
H 0.000 0.000 0.000
Os 1.692 2.651 2.651
```

VASP energy = -2.72 eV per atom

=====

No. 6
The following is a DFT calculation (PBEsol) of an optimized crystal structure of ScHgH2Br.

```
5
Lattice="3.929 0.000 0.000 0.000 3.929 0.000 0.000 0.000 6.603" Properties=species:S:1:pos:R:3 pbc="T T T"
H 0.000 1.965 0.000
Hg 0.000 0.000 3.301
H 1.965 0.000 0.000
Br 0.000 0.000 0.000
Sc 1.965 1.965 3.301
```

VASP energy = -2.55 eV per atom

=====

No. 7
The following is a DFT calculation (PBEsol) of an optimized crystal structure of HgHSe2Br.

```
5
Lattice="5.238 0.000 0.000 0.000 5.238 0.000 0.000 0.000 5.564" Properties=species:S:1:pos:R:3 pbc="T T T"
H 2.619 2.619 2.782
Se 0.000 2.619 0.000
Se 2.619 0.000 0.000
Hg 0.000 0.000 0.000
Br 0.000 0.000 2.782
```

VASP energy = -1.71 eV per atom

=====

No. 8
The following is a DFT calculation (PBEsol) of an optimized crystal structure of In2HBr2.

```
5
Lattice="-4.867 0.499 -3.726 4.690 -4.092 -1.599 -1.044 -6.035 0.556" Properties=species:S:1:pos:R:3 pbc="T T T"
Br 0.613 -6.527 -1.675
H 0.000 0.000 0.000
Br -1.834 -3.101 -3.094
In -2.088 -6.198 -3.177
In 0.867 -3.430 -1.592
```

VASP energy = -2.46 eV per atom

=====

No. 9
The following is a DFT calculation (PBEsol) of an optimized crystal structure of InHBr2.

```
4
Lattice="3.406 0.000 0.000 1.703 2.949 0.000 1.703 0.983 8.150" Properties=species:S:1:pos:R:3 pbc="T T T"
In 0.000 0.000 0.000
Br 5.109 2.949 2.746
Br 1.703 0.983 5.404
H 3.406 1.966 4.075
```

VASP energy = -2.23 eV per atom

=====

No. 10
The following is a DFT calculation (PBEsol) of an optimized crystal structure of In2HBr.

```
8
Lattice="7.490 0.000 0.000 0.000 7.490 0.000 -3.745 -3.745 3.067" Properties=species:S:1:pos:R:3 pbc="T T T"
H 3.745 3.745 0.000
In 1.873 1.066 2.301
Br 0.000 3.745 1.534
H 3.745 0.000 1.534
In 4.811 1.873 0.767
In -1.873 -1.066 2.301
In 2.679 5.618 0.767
Br 0.000 0.000 0.000
```

VASP energy = -2.85 eV per atom

=====

No. 11
The following is a DFT calculation (PBEsol) of an optimized crystal structure of InHBr3.

```
5
Lattice="-2.906 3.475 2.838 -3.605 0.205 -3.942 -2.671 -4.057 2.232" Properties=species:S:1:pos:R:3 pbc="T T T"
Br -1.803 0.102 -1.971
H -4.591 -0.188 0.564
Br -1.453 1.738 1.419
Br -1.336 -2.028 1.116
In 0.000 0.000 0.000
```

VASP energy = -2.36 eV per atom

=====

No. 12
The following is a DFT calculation (PBEsol) of an optimized crystal structure of HIrBr2.

```
8
Lattice="-0.146 2.930 -4.453 2.034 -4.087 -2.756 -5.574 -1.088 2.660" Properties=species:S:1:pos:R:3 pbc="T T T"
H -2.388 0.632 -2.699
Br -3.097 -1.346 -2.380
Ir -1.298 -2.877 -1.851
Br -0.752 0.620 -4.054
Br 0.325 -2.611 -3.628
H 0.944 -0.579 -3.605
Br -3.848 -1.155 0.963
Ir 0.000 0.000 0.000
```

VASP energy = -3.48 eV per atom

=====

No. 13
The following is a DFT calculation (PBEsol) of an optimized crystal structure of LiH2IrBr.

```
5
Lattice="-0.455 2.641 -2.123 -1.510 -2.076 -2.258 -5.215 1.095 2.480" Properties=species:S:1:pos:R:3 pbc="T T T"
Ir 0.000 0.000 0.000
H -0.755 -1.038 -1.129
Li -2.607 0.548 1.240
H -0.228 1.320 -1.062
Br -3.590 0.830 -0.951
```

VASP energy = -3.88 eV per atom

=====

No. 14
The following is a DFT calculation (PBEsol) of an optimized crystal structure of KHBr2.

```
4
Lattice="-2.467 0.917 4.360 2.364 -0.692 4.457 1.955 6.042 2.810" Properties=species:S:1:pos:R:3 pbc="T T T"
H 0.000 0.000 0.000
Br 0.435 1.836 8.782
Br 1.418 4.430 2.845
K 0.926 3.133 5.813
```

VASP energy = -3.03 eV per atom

=====

No. 15
The following is a DFT calculation (PBEsol) of an optimized crystal structure of K2HBrO.

```
10
Lattice="-3.230 -1.845 -1.925 4.210 -2.950 -4.235 -1.072 -5.081 6.668" Properties=species:S:1:pos:R:3 pbc="T T T"
K -0.470 -8.382 1.988
K 0.130 -5.402 -1.874
K 0.378 -1.494 -1.480
O 1.907 -3.373 -2.245
H -2.608 -5.842 3.142
K -0.222 -4.474 2.382
H 2.517 -4.034 -2.634
Br 1.912 -6.454 0.700
O -1.999 -6.503 2.753
Br -2.004 -3.421 -0.192
```

VASP energy = -4.03 eV per atom

=====

No. 16
The following is a DFT calculation (PBEsol) of an optimized crystal structure of KZnH4Br3O2.

```
44
Lattice="6.674 0.072 0.000 -1.616 9.922 0.000 0.000 0.000 11.910" Properties=species:S:1:pos:R:3 pbc="T T T"
O 1.164 8.000 3.804
H 3.425 1.718 7.280
H 6.091 2.088 3.054
Br -0.794 6.591 1.194
O 2.537 6.428 2.287
H 6.140 0.753 4.013
K 4.289 4.939 3.926
H 1.995 5.678 1.942
H 5.778 3.350 1.325
H 4.419 2.775 1.833
K 4.914 0.129 9.881
Br 2.150 3.258 1.292
O 3.895 1.994 8.106
H 4.784 2.294 7.788
H -0.720 6.643 10.586
Br 5.853 3.403 10.716
Br 3.350 1.666 4.761
Zn 3.957 7.607 6.861
Zn 1.102 2.386 5.050
Br 0.839 4.718 4.724
H 1.947 7.013 2.901
K 0.145 9.864 2.029
K 0.769 5.054 7.984
Br 2.908 6.735 10.618
O 5.051 8.562 8.242
Br 3.368 9.714 1.231
H -1.081 9.241 7.897
O 0.008 1.431 3.668
Br 1.708 8.328 7.149
H 0.639 7.219 10.077
Zn 3.631 7.383 0.905
Zn 1.427 2.610 11.005
Br 4.219 5.276 7.186
H 1.633 8.275 4.631
Br 0.379 1.738 7.247
O 2.522 3.565 9.623
O 5.309 3.075 2.151
H -1.033 7.906 8.857
H 3.063 4.316 9.968
H 0.274 7.700 4.122
O -0.250 6.919 9.760
Br 4.680 8.255 4.663
H 3.112 2.981 9.009
Br 1.690 0.279 10.679
```

VASP energy = -4.04 eV per atom

=====

No. 17
The following is a DFT calculation (PBEsol) of an optimized crystal structure of KHSeBr2.

```
5
Lattice="-4.129 4.260 -1.534 -3.453 -4.305 -2.664 -3.080 -0.978 5.573" Properties=species:S:1:pos:R:3 pbc="T T T"
Br -1.726 -2.153 -1.332
H -5.331 -0.512 0.688
K 0.000 0.000 0.000
Se -1.540 -0.489 2.787
Br -2.064 2.130 -0.767
```

VASP energy = -1.78 eV per atom

=====

No. 18
The following is a DFT calculation (PBEsol) of an optimized crystal structure of La3HBr.

```
5
Lattice="-3.443 -0.917 4.282 4.171 -2.345 2.851 1.334 4.969 2.136" Properties=species:S:1:pos:R:3 pbc="T T T"
H 1.031 0.853 4.635
La 0.667 2.484 1.068
La 2.086 -1.173 1.426
Br 0.000 0.000 0.000
La -1.721 -0.458 2.141
```

VASP energy = -3.97 eV per atom

=====

No. 19
The following is a DFT calculation (PBEsol) of an optimized crystal structure of LaHBr2.

```
8
Lattice="-3.670 -0.366 -1.692 3.036 -2.411 -1.198 -3.606 -9.446 9.867" Properties=species:S:1:pos:R:3 pbc="T T T"
La -0.901 -2.362 2.467
H -1.904 -8.814 6.037
Br 0.390 -2.806 -0.238
H -2.336 -3.409 0.939
Br -4.630 -9.417 7.214
Br -3.649 -6.848 4.531
Br -0.591 -5.375 2.446
La -2.704 -7.085 7.400
```

VASP energy = -4.71 eV per atom

=====

No. 20
The following is a DFT calculation (PBEsol) of an optimized crystal structure of LaHSeBr2.

```
5
Lattice="5.811 0.000 0.000 0.000 5.811 0.000 0.000 0.000 5.841" Properties=species:S:1:pos:R:3 pbc="T T T"
La 0.000 0.000 0.000
Br 0.000 2.906 0.000
Br 2.906 0.000 0.000
H 2.906 2.906 2.921
Se 0.000 0.000 2.921
```

VASP energy = -3.78 eV per atom

=====

No. 21
The following is a DFT calculation (PBEsol) of an optimized crystal structure of Li2HBr.

```
8
Lattice="5.102 0.000 0.000 0.000 5.102 0.000 -2.551 -2.551 4.964" Properties=species:S:1:pos:R:3 pbc="T T T"
Li 1.275 0.775 3.723
H 2.551 2.551 0.000
Li 3.326 1.275 1.241
Br 0.000 2.551 2.482
Li 1.776 3.826 1.241
Br 0.000 0.000 0.000
Li -1.275 -0.775 3.723
H 2.551 0.000 2.482
```

VASP energy = -3.17 eV per atom

=====

No. 22
The following is a DFT calculation (PBEsol) of an optimized crystal structure of LiHBr3.

```
5
Lattice="4.703 0.000 0.000 0.000 4.703 0.000 0.000 0.000 4.703" Properties=species:S:1:pos:R:3 pbc="T T T"
Br 2.351 0.000 0.000
Li 2.351 2.351 2.351
Br 0.000 0.000 2.351
H 0.000 0.000 0.000
Br 0.000 2.351 0.000
```

VASP energy = -2.20 eV per atom

=====

No. 23
The following is a DFT calculation (PBEsol) of an optimized crystal structure of LiHBr2.

```
8
Lattice="-4.624 -1.152 -2.775 2.997 -2.134 -4.108 0.619 -2.828 5.622" Properties=species:S:1:pos:R:3 pbc="T T T"
H -0.814 -1.643 -3.442
Br -0.723 -4.054 0.148
Li 0.000 0.000 0.000
Br 0.780 -3.071 -3.387
H -2.409 -2.812 -0.297
Li 1.401 -3.302 -0.964
Br 0.431 -2.653 3.123
Br -2.505 -2.450 -2.406
```

Energy above the lowest structure with this stoichiometry = 0.2870 eV per atom